--- one ---
Compound: GaRhSeBr2
Source: Alexandria via LeMat-Bulk
Functional: PBE
Structure: relaxed

Cell lengths 5.331, 5.331, 4.701 Å; angles 90.00, 90.00, 90.00 degrees
Fractional positions:
1 Br 0.500 0.000 0.000
2 Br 0.000 0.500 0.000
3 Rh 0.000 0.000 0.000
4 Se 0.000 0.000 0.500
5 Ga 0.500 0.500 0.500

Output
The value obtained for the density of states at the Fermi level is 3.69 states/eV/cell. As for the space group: P4/mmm.

--- two ---
Compound: GaRhSeBr2
Source: Alexandria via LeMat-Bulk
Functional: PBE
Structure: relaxed

Cell lengths 5.124, 5.124, 5.022 Å; angles 90.00, 90.00, 90.00 degrees
Fractional positions:
1 Ga 0.000 0.000 0.000
2 Se 0.000 0.000 0.500
3 Rh 0.500 0.500 0.500
4 Br 0.000 0.500 0.000
5 Br 0.500 0.000 0.000

Output
The value obtained for the density of states at the Fermi level is 7.53 states/eV/cell. As for the space group: P4/mmm.

Most favorable first, least favorable last: one, two

--- one ---
Compound: GaRu2Br
Source: Alexandria via LeMat-Bulk
Functional: PBE
Structure: relaxed

Cell lengths 5.655, 5.655, 6.705 Å; angles 65.06, 65.06, 90.00 degrees
Fractional positions:
1 Br 0.750 0.250 0.500
2 Br 0.000 0.000 0.000
3 Ru 0.875 0.881 0.750
4 Ru 0.631 0.125 0.250
5 Ru 0.119 0.625 0.250
6 Ru 0.375 0.369 0.750
7 Ga 0.250 0.750 0.500
8 Ga 0.500 0.500 0.000

Output
The value obtained for the density of states at the Fermi level is 4.28 states/eV/cell. As for the space group: I-42d.

--- two ---
Compound: GaRu2Br
Source: Alexandria via LeMat-Bulk
Functional: PBE
Structure: relaxed

Cell lengths 4.454, 4.454, 4.454 Å; angles 60.00, 60.00, 60.00 degrees
Fractional positions:
1 Ru 0.250 0.250 0.250
2 Ru 0.750 0.750 0.750
3 Br 0.500 0.500 0.500
4 Ga 0.000 0.000 0.000

Output
The value obtained for the density of states at the Fermi level is 4.48 states/eV/cell. As for the space group: Fm-3m.

Most favorable first, least favorable last: two, one

--- one ---
Compound: GaRuSeBr2
Source: Alexandria via LeMat-Bulk
Functional: PBE
Structure: relaxed

Cell lengths 5.142, 5.142, 5.031 Å; angles 90.00, 90.00, 90.00 degrees
Fractional positions:
1 Ru 0.500 0.500 0.500
2 Br 0.500 0.000 0.000
3 Br 0.000 0.500 0.000
4 Ga 0.000 0.000 0.000
5 Se 0.000 0.000 0.500

Output
The value obtained for the density of states at the Fermi level is 4.58 states/eV/cell. As for the space group: P4/mmm.

--- two ---
Compound: GaRuSeBr2
Source: Alexandria via LeMat-Bulk
Functional: PBE
Structure: relaxed

Cell lengths 5.228, 5.228, 4.574 Å; angles 90.00, 90.00, 90.00 degrees
Fractional positions:
1 Br 0.500 0.000 0.000
2 Br 0.000 0.500 0.000
3 Ga 0.500 0.500 0.500
4 Se 0.000 0.000 0.500
5 Ru 0.000 0.000 0.000

Output
The value obtained for the density of states at the Fermi level is 2.44 states/eV/cell. As for the space group: P4/mmm.

Most favorable first, least favorable last: two, one

--- one ---
Compound: GaRuSe2Br
Source: Alexandria via LeMat-Bulk
Functional: PBE
Structure: relaxed

Cell lengths 4.823, 4.823, 5.462 Å; angles 90.00, 90.00, 90.00 degrees
Fractional positions:
1 Br 0.000 0.000 0.500
2 Ga 0.500 0.500 0.500
3 Se 0.000 0.500 0.000
4 Se 0.500 0.000 0.000
5 Ru 0.000 0.000 0.000

Output
The value obtained for the density of states at the Fermi level is 5.42 states/eV/cell. As for the space group: P4/mmm.

--- two ---
Compound: GaRuSe2Br
Source: Alexandria via LeMat-Bulk
Functional: PBE
Structure: relaxed

Cell lengths 4.960, 4.960, 5.115 Å; angles 90.00, 90.00, 90.00 degrees
Fractional positions:
1 Ru 0.500 0.500 0.500
2 Se 0.000 0.500 0.000
3 Se 0.500 0.000 0.000
4 Br 0.000 0.000 0.500
5 Ga 0.000 0.000 0.000

Output
The value obtained for the density of states at the Fermi level is 4.79 states/eV/cell. As for the space group: P4/mmm.

Most favorable first, least favorable last: one, two

--- one ---
Compound: Ga3SBr
Source: Alexandria via LeMat-Bulk
Functional: PBE
Structure: relaxed

Cell lengths 5.397, 5.397, 5.397 Å; angles 90.00, 90.00, 90.00 degrees
Fractional positions:
1 Br 0.500 0.500 0.500
2 S 0.000 0.000 0.000
3 Ga 0.500 0.000 0.000
4 Ga 0.000 0.500 0.000
5 Ga 0.000 0.000 0.500

Output
The value obtained for the density of states at the Fermi level is 2.59 states/eV/cell. As for the space group: Pm-3m.

--- two ---
Compound: Ga3SBr
Source: Alexandria via LeMat-Bulk
Functional: PBE
Structure: relaxed

Cell lengths 5.594, 5.594, 5.594 Å; angles 90.00, 90.00, 90.00 degrees
Fractional positions:
1 Br 0.000 0.000 0.000
2 Ga 0.000 0.000 0.500
3 Ga 0.000 0.500 0.000
4 Ga 0.500 0.000 0.000
5 S 0.500 0.500 0.500

Output
The value obtained for the density of states at the Fermi level is 0.00 states/eV/cell. As for the space group: Pm-3m.

Most favorable first, least favorable last: one, two

--- one ---
Compound: GaSBr2
Source: Alexandria via LeMat-Bulk
Functional: PBE
Structure: relaxed

Cell lengths 8.774, 8.774, 8.774 Å; angles 28.61, 28.61, 28.61 degrees
Fractional positions:
1 S 0.000 0.000 0.000
2 Ga 0.500 0.500 0.500
3 Br 0.097 0.097 0.097
4 Br 0.903 0.903 0.903

Output
The value obtained for the density of states at the Fermi level is 4.64 states/eV/cell. As for the space group: R-3m.

--- two ---
Compound: GaSBr2
Source: Alexandria via LeMat-Bulk
Functional: PBE
Structure: relaxed

Cell lengths 5.259, 5.259, 5.259 Å; angles 60.00, 60.00, 60.00 degrees
Fractional positions:
1 Br 0.250 0.250 0.250
2 Br 0.750 0.750 0.750
3 S 0.000 0.000 0.000
4 Ga 0.500 0.500 0.500

Output
The value obtained for the density of states at the Fermi level is 2.17 states/eV/cell. As for the space group: Fm-3m.

Most favorable first, least favorable last: one, two

--- one ---
Compound: Ga2SBr
Source: Alexandria via LeMat-Bulk
Functional: PBE
Structure: relaxed

Cell lengths 7.229, 7.229, 6.479 Å; angles 56.09, 56.09, 90.00 degrees
Fractional positions:
1 S 0.500 0.500 0.000
2 S 0.250 0.750 0.500
3 Ga 0.583 0.125 0.250
4 Ga 0.375 0.417 0.750
5 Ga 0.167 0.625 0.250
6 Ga 0.875 0.833 0.750
7 Br 0.000 0.000 0.000
8 Br 0.750 0.250 0.500

Output
The value obtained for the density of states at the Fermi level is 3.74 states/eV/cell. As for the space group: I-42d.

--- two ---
Compound: Ga2SBr
Source: Alexandria via LeMat-Bulk
Functional: PBE
Structure: relaxed

Cell lengths 4.975, 4.975, 4.975 Å; angles 60.00, 60.00, 60.00 degrees
Fractional positions:
1 Ga 0.250 0.250 0.250
2 Ga 0.750 0.750 0.750
3 Br 0.500 0.500 0.500
4 S 0.000 0.000 0.000

Output
The value obtained for the density of states at the Fermi level is 2.49 states/eV/cell. As for the space group: Fm-3m.

Most favorable first, least favorable last: one, two

--- one ---
Compound: Ga2SbBr
Source: Alexandria via LeMat-Bulk
Functional: PBE
Structure: relaxed

Cell lengths 7.262, 7.262, 7.097 Å; angles 59.23, 59.23, 90.00 degrees
Fractional positions:
1 Br 0.500 0.500 0.000
2 Br 0.250 0.750 0.500
3 Sb 0.750 0.250 0.500
4 Sb 0.000 0.000 0.000
5 Ga 0.875 0.893 0.750
6 Ga 0.107 0.625 0.250
7 Ga 0.643 0.125 0.250
8 Ga 0.375 0.357 0.750

Output
The value obtained for the density of states at the Fermi level is 0.81 states/eV/cell. As for the space group: I-42d.

--- two ---
Compound: Ga2SbBr
Source: Alexandria via LeMat-Bulk
Functional: PBE
Structure: relaxed

Cell lengths 5.150, 5.150, 5.150 Å; angles 60.00, 60.00, 60.00 degrees
Fractional positions:
1 Sb 0.500 0.500 0.500
2 Ga 0.250 0.250 0.250
3 Ga 0.750 0.750 0.750
4 Br 0.000 0.000 0.000

Output
The value obtained for the density of states at the Fermi level is 0.67 states/eV/cell. As for the space group: Fm-3m.

Most favorable first, least favorable last: two, one

--- one ---
Compound: GaSb2Br
Source: Alexandria via LeMat-Bulk
Functional: PBE
Structure: relaxed

Cell lengths 5.194, 5.194, 5.194 Å; angles 60.00, 60.00, 60.00 degrees
Fractional positions:
1 Br 0.500 0.500 0.500
2 Ga 0.000 0.000 0.000
3 Sb 0.250 0.250 0.250
4 Sb 0.750 0.750 0.750

Output
The value obtained for the density of states at the Fermi level is 2.19 states/eV/cell. As for the space group: Fm-3m.

--- two ---
Compound: GaSb2Br
Source: Alexandria via LeMat-Bulk
Functional: PBE
Structure: relaxed

Cell lengths 4.397, 4.397, 12.749 Å; angles 80.07, 80.07, 90.00 degrees
Fractional positions:
1 Sb 0.875 0.835 0.750
2 Sb 0.165 0.625 0.250
3 Sb 0.375 0.415 0.750
4 Sb 0.585 0.125 0.250
5 Br 0.000 0.000 0.000
6 Br 0.750 0.250 0.500
7 Ga 0.250 0.750 0.500
8 Ga 0.500 0.500 0.000

Output
The value obtained for the density of states at the Fermi level is 1.11 states/eV/cell. As for the space group: I-42d.

Most favorable first, least favorable last: two, one

--- one ---
Compound: GaSbBr2
Source: Alexandria via LeMat-Bulk
Functional: PBE
Structure: relaxed

Cell lengths 10.063, 10.063, 10.063 Å; angles 21.46, 21.46, 21.46 degrees
Fractional positions:
1 Br 0.905 0.905 0.905
2 Br 0.095 0.095 0.095
3 Ga 0.500 0.500 0.500
4 Sb 0.000 0.000 0.000

Output
The value obtained for the density of states at the Fermi level is 0.79 states/eV/cell. As for the space group: R-3m.

--- two ---
Compound: GaSbBr2
Source: Alexandria via LeMat-Bulk
Functional: PBE
Structure: relaxed

Cell lengths 5.345, 5.345, 5.345 Å; angles 60.00, 60.00, 60.00 degrees
Fractional positions:
1 Br 0.250 0.250 0.250
2 Br 0.750 0.750 0.750
3 Ga 0.000 0.000 0.000
4 Sb 0.500 0.500 0.500

Output
The value obtained for the density of states at the Fermi level is 3.71 states/eV/cell. As for the space group: Fm-3m.

Most favorable first, least favorable last: one, two

--- one ---
Compound: GaSbBr
Source: Alexandria via LeMat-Bulk
Functional: PBE
Structure: relaxed

Cell lengths 4.174, 7.986, 11.866 Å; angles 90.00, 90.00, 90.00 degrees
Fractional positions:
1 Sb 0.750 0.532 0.920
2 Sb 0.250 0.968 0.420
3 Sb 0.250 0.468 0.080
4 Sb 0.750 0.032 0.580
5 Ga 0.250 0.162 0.216
6 Ga 0.750 0.338 0.716
7 Ga 0.750 0.838 0.784
8 Ga 0.250 0.662 0.284
9 Br 0.750 0.462 0.352
10 Br 0.750 0.962 0.148
11 Br 0.250 0.538 0.648
12 Br 0.250 0.038 0.852

Output
The value obtained for the density of states at the Fermi level is 2.37 states/eV/cell. As for the space group: Pnma.

--- two ---
Compound: GaSbBr
Source: Alexandria via LeMat-Bulk
Functional: PBE
Structure: relaxed

Cell lengths 6.307, 8.764, 8.111 Å; angles 121.07, 90.00, 90.00 degrees
Fractional positions:
1 Sb 0.793 0.225 0.467
2 Sb 0.207 0.775 0.533
3 Sb 0.707 0.725 0.467
4 Sb 0.293 0.275 0.533
5 Ga 0.269 0.131 0.756
6 Ga 0.231 0.631 0.756
7 Ga 0.769 0.369 0.244
8 Ga 0.731 0.869 0.244
9 Br 0.354 0.849 0.098
10 Br 0.854 0.651 0.902
11 Br 0.646 0.151 0.902
12 Br 0.146 0.349 0.098

Output
The value obtained for the density of states at the Fermi level is 0.47 states/eV/cell. As for the space group: P2_1/c.

Most favorable first, least favorable last: two, one

--- one ---
Compound: GaSbSe2Br
Source: Alexandria via LeMat-Bulk
Functional: PBE
Structure: relaxed

Cell lengths 5.089, 5.089, 4.943 Å; angles 90.00, 90.00, 90.00 degrees
Fractional positions:
1 Sb 0.500 0.500 0.500
2 Ga 0.000 0.000 0.000
3 Se 0.500 0.000 0.000
4 Se 0.000 0.500 0.000
5 Br 0.000 0.000 0.500

Output
The value obtained for the density of states at the Fermi level is 3.26 states/eV/cell. As for the space group: P4/mmm.

--- two ---
Compound: GaSbSe2Br
Source: Alexandria via LeMat-Bulk
Functional: PBE
Structure: relaxed

Cell lengths 5.336, 5.336, 5.690 Å; angles 90.00, 90.00, 90.00 degrees
Fractional positions:
1 Ga 0.500 0.500 0.500
2 Se 0.000 0.500 0.000
3 Se 0.500 0.000 0.000
4 Br 0.000 0.000 0.500
5 Sb 0.000 0.000 0.000

Output
The value obtained for the density of states at the Fermi level is 1.32 states/eV/cell. As for the space group: P4/mmm.

Most favorable first, least favorable last: two, one